(1)
Material: Ac4Ce3TaN8
Method: DFT, GGA-PBE
State: optimized geometry

a = 7.3751 Å, b = 7.3751 Å, c = 7.3751 Å
α = 58.38°, β = 58.38°, γ = 58.38°
With the nearest neighbours (Å) after each atom.
Fractional coordinates of all 16 atoms:
Ac 0.0000 0.0000 0.0000  6 N 2.93
Ac 0.0000 0.5000 0.5000  6 N 2.70-2.74
Ac 0.5000 0.0000 0.5000  6 N 2.70-2.74
Ac 0.5000 0.5000 0.0000  6 N 2.70-2.74
Ce 0.0000 0.0000 0.5000  6 N 2.43-2.50
Ce 0.0000 0.5000 0.0000  6 N 2.43-2.50
Ce 0.5000 0.0000 0.0000  6 N 2.43-2.50
Ta 0.5000 0.5000 0.5000  6 N 2.23
N 0.2356 0.2356 0.2356  3 Ce 2.43
N 0.2654 0.7167 0.7167  1 Ta 2.23, 2 Ce 2.50
N 0.2833 0.2833 0.7346  1 Ta 2.23, 2 Ce 2.50
N 0.2833 0.7346 0.2833  1 Ta 2.23, 2 Ce 2.50
N 0.7167 0.2654 0.7167  1 Ta 2.23, 2 Ce 2.50
N 0.7167 0.7167 0.2654  1 Ta 2.23, 2 Ce 2.50
N 0.7346 0.2833 0.2833  1 Ta 2.23, 2 Ce 2.50
N 0.7644 0.7644 0.7644  3 Ce 2.43

Computed properties:
Space group: R-3m

(2)
Material: AcCe2TaN4
Method: DFT, GGA-PBE
State: optimized geometry

a = 6.4877 Å, b = 6.4877 Å, c = 12.3931 Å
α = 90.00°, β = 90.00°, γ = 148.44°
With the nearest neighbours (Å) after each atom.
Fractional coordinates of all 16 atoms:
Ac 0.0945 0.9055 0.7500  6 N 2.75-2.94
Ac 0.9055 0.0945 0.2500  6 N 2.75-2.94
Ce 0.3698 0.6302 0.5372  5 N 2.41-2.66
Ce 0.3698 0.6302 0.9628  5 N 2.41-2.66
Ce 0.6302 0.3698 0.0372  5 N 2.41-2.66
Ce 0.6302 0.3698 0.4628  5 N 2.41-2.66
Ta 0.1669 0.8331 0.2500  4 N 1.96-2.11
Ta 0.8331 0.1669 0.7500  4 N 1.96-2.11
N 0.0000 0.0000 0.0000  4 Ce 2.44
N 0.0000 0.0000 0.5000  4 Ce 2.44
N 0.2636 0.7364 0.1256  1 Ta 1.96
N 0.2636 0.7364 0.3744  1 Ta 1.96
N 0.4254 0.5746 0.7500  2 Ta 2.11
N 0.5746 0.4254 0.2500  2 Ta 2.11
N 0.7364 0.2636 0.6256  1 Ta 1.96
N 0.7364 0.2636 0.8744  1 Ta 1.96

Computed properties:
Space group: Cmcm

(3)
Material: AcCeTaN4
Method: DFT, GGA-PBE
State: optimized geometry

a = 7.0792 Å, b = 7.0792 Å, c = 5.8070 Å
α = 90.00°, β = 90.00°, γ = 132.09°
With the nearest neighbours (Å) after each atom.
Fractional coordinates of all 14 atoms:
Ac 0.1082 0.8918 0.7500  5 N 2.51-2.75
Ac 0.8918 0.1082 0.2500  5 N 2.51-2.75
Ce 0.3969 0.6031 0.7500  1 N 2.11
Ce 0.6031 0.3969 0.2500  1 N 2.11
Ta 0.2364 0.7636 0.2500  5 N 1.95-2.05
Ta 0.7636 0.2364 0.7500  5 N 1.95-2.05
N 0.0000 0.5000 0.0000  2 Ta 2.05
N 0.0000 0.5000 0.5000  2 Ta 2.05
N 0.0859 0.9141 0.2500  1 Ta 1.95
N 0.4404 0.5596 0.2500  1 Ce 2.11
N 0.5000 0.0000 0.0000  2 Ta 2.05
N 0.5000 0.0000 0.5000  2 Ta 2.05
N 0.5596 0.4404 0.7500  1 Ce 2.11
N 0.9141 0.0859 0.7500  1 Ta 1.95

Computed properties:
Space group: Cmcm

(4)
Material: Ac3Ce2TaN6
Method: DFT, GGA-PBE
State: optimized geometry

a = 6.1765 Å, b = 6.1765 Å, c = 6.4075 Å
α = 99.08°, β = 99.08°, γ = 120.03°
With the nearest neighbours (Å) after each atom.
Fractional coordinates of all 12 atoms:
Ac 0.0000 0.0000 0.0000  6 N 2.71-2.88
Ac 0.3342 0.6658 0.0000  6 N 2.66-2.93
Ac 0.6658 0.3342 0.0000  6 N 2.66-2.93
Ce 0.1669 0.8331 0.5000  6 N 2.46-2.50
Ce 0.8331 0.1669 0.5000  6 N 2.46-2.50
Ta 0.5000 0.5000 0.5000  6 N 2.21-2.23
N 0.1335 0.4345 0.3051  1 Ta 2.21, 2 Ce 2.46-2.47
N 0.2667 0.2667 0.7042  1 Ta 2.23
N 0.4345 0.1335 0.3051  1 Ta 2.21, 2 Ce 2.46-2.47
N 0.5655 0.8665 0.6949  1 Ta 2.21, 2 Ce 2.46-2.47
N 0.7333 0.7333 0.2958  1 Ta 2.23
N 0.8665 0.5655 0.6949  1 Ta 2.21, 2 Ce 2.46-2.47

Computed properties:
Space group: C2/m

(5)
Material: AcTb2CeN4
Method: DFT, GGA-PBE
State: optimized geometry

a = 6.2721 Å, b = 3.6124 Å, c = 6.2765 Å
α = 90.00°, β = 109.16°, γ = 90.00°
With the nearest neighbours (Å) after each atom.
Fractional coordinates of all 8 atoms:
Ac 0.0000 0.0000 0.0000  6 N 2.64-2.65
Tb 0.5000 0.0000 0.5000  6 N 2.47-2.48
Tb 0.5000 0.5000 0.0000  6 N 2.56-2.60
Ce 0.0000 0.5000 0.5000  6 N 2.51-2.56
N 0.2585 0.0000 0.7415  3 Tb 2.47-2.56, 2 Ce 2.56, 1 Ac 2.64
N 0.2627 0.5000 0.2715  3 Tb 2.48-2.60, 1 Ce 2.51, 2 Ac 2.65
N 0.7373 0.5000 0.7285  3 Tb 2.48-2.60, 1 Ce 2.51, 2 Ac 2.65
N 0.7415 0.0000 0.2585  3 Tb 2.47-2.56, 2 Ce 2.56, 1 Ac 2.64

Computed properties:
Space group: P2/m

(6)
Material: AcTbCe2N4
Method: DFT, GGA-PBE
State: optimized geometry

a = 6.2806 Å, b = 3.6249 Å, c = 6.3298 Å
α = 90.00°, β = 109.46°, γ = 90.00°
With the nearest neighbours (Å) after each atom.
Fractional coordinates of all 8 atoms:
Ac 0.0000 0.0000 0.0000  6 N 2.68-2.69
Tb 0.0000 0.5000 0.5000  6 N 2.57-2.58
Ce 0.5000 0.0000 0.5000  6 N 2.45-2.47
Ce 0.5000 0.5000 0.0000  6 N 2.57-2.58
N 0.2603 0.0000 0.7401  3 Ce 2.47-2.57, 2 Tb 2.57, 1 Ac 2.68
N 0.2736 0.5000 0.2738  3 Ce 2.45-2.58, 1 Tb 2.58, 2 Ac 2.69
N 0.7264 0.5000 0.7262  3 Ce 2.45-2.58, 1 Tb 2.58, 2 Ac 2.69
N 0.7397 0.0000 0.2599  3 Ce 2.47-2.57, 2 Tb 2.57, 1 Ac 2.68

Computed properties:
Space group: P2/m

(7)
Material: Ac2CeTcN5
Method: DFT, GGA-PBE
State: optimized geometry

a = 7.7623 Å, b = 7.7623 Å, c = 7.7623 Å
α = 125.86°, β = 125.86°, γ = 80.12°
With the nearest neighbours (Å) after each atom.
Fractional coordinates of all 18 atoms:
Ac 0.1753 0.6753 0.8506  4 N 2.56-2.61
Ac 0.3247 0.1753 0.5000  4 N 2.56-2.61
Ac 0.6753 0.8247 0.5000  4 N 2.56-2.61
Ac 0.8247 0.3247 0.1494  4 N 2.56-2.61
Ce 0.2500 0.2500 0.0000  10 N 2.93-2.97
Ce 0.7500 0.7500 0.0000  10 N 2.93-2.97
Tc 0.2500 0.7500 0.5000  4 N 1.85
Tc 0.7500 0.2500 0.5000  4 N 1.85
N 0.0000 0.0000 0.0000  4 Ac 2.61
N 0.0081 0.8022 0.5000  1 Tc 1.85
N 0.1978 0.6978 0.2059  1 Tc 1.85
N 0.3022 0.5081 0.5000  1 Tc 1.85
N 0.4919 0.9919 0.7941  1 Tc 1.85
N 0.5000 0.5000 0.0000  4 Ac 2.61
N 0.5081 0.0081 0.2059  1 Tc 1.85
N 0.6978 0.4919 0.5000  1 Tc 1.85
N 0.8022 0.3022 0.7941  1 Tc 1.85
N 0.9919 0.1978 0.5000  1 Tc 1.85

Computed properties:
Space group: I4/mcm

(8)
Material: Ac2CeTc2N6
Method: DFT, GGA-PBE
State: optimized geometry

a = 7.0576 Å, b = 7.0576 Å, c = 7.0576 Å
α = 49.38°, β = 49.38°, γ = 49.38°
With the nearest neighbours (Å) after each atom.
Fractional coordinates of all 11 atoms:
Ac 0.2123 0.2123 0.2123  9 N 2.75-2.99
Ac 0.7877 0.7877 0.7877  9 N 2.75-2.99
Ce 0.0000 0.0000 0.0000  6 N 2.41
Tc 0.4015 0.4015 0.4015  3 N 1.81
Tc 0.5985 0.5985 0.5985  3 N 1.81
N 0.2305 0.7435 0.7435  1 Tc 1.81
N 0.2565 0.2565 0.7695  1 Tc 1.81
N 0.2565 0.7695 0.2565  1 Tc 1.81
N 0.7435 0.2305 0.7435  1 Tc 1.81
N 0.7435 0.7435 0.2305  1 Tc 1.81
N 0.7695 0.2565 0.2565  1 Tc 1.81

Computed properties:
Space group: R-3m

(9)
Material: Ac2CeTcN4
Method: DFT, GGA-PBE
State: optimized geometry

a = 6.5316 Å, b = 6.5316 Å, c = 12.9354 Å
α = 90.00°, β = 90.00°, γ = 148.31°
With the nearest neighbours (Å) after each atom.
Fractional coordinates of all 16 atoms:
Ac 0.1325 0.8675 0.5433  4 N 2.50-2.73
Ac 0.1325 0.8675 0.9567  4 N 2.50-2.73
Ac 0.8675 0.1325 0.0433  4 N 2.50-2.73
Ac 0.8675 0.1325 0.4567  4 N 2.50-2.73
Ce 0.3695 0.6305 0.7500  4 N 2.47
Ce 0.6305 0.3695 0.2500  4 N 2.47
Tc 0.3444 0.6556 0.2500  4 N 1.97-2.08
Tc 0.6556 0.3444 0.7500  4 N 1.97-2.08
N 0.0885 0.9115 0.7500  2 Tc 1.97
N 0.2161 0.7839 0.1481  1 Tc 2.08
N 0.2161 0.7839 0.3519  1 Tc 2.08
N 0.5000 0.5000 0.0000  4 Ac 2.50
N 0.5000 0.5000 0.5000  4 Ac 2.50
N 0.7839 0.2161 0.6481  1 Tc 2.08
N 0.7839 0.2161 0.8519  1 Tc 2.08
N 0.9115 0.0885 0.2500  2 Tc 1.97

Computed properties:
Space group: Cmcm

(10)
Material: AcCe2TcN5
Method: DFT, GGA-PBE
State: optimized geometry

a = 7.5181 Å, b = 7.5181 Å, c = 7.5181 Å
α = 126.23°, β = 126.23°, γ = 79.51°
With the nearest neighbours (Å) after each atom.
Fractional coordinates of all 18 atoms:
Ac 0.2500 0.2500 0.0000  10 N 2.89-2.90
Ac 0.7500 0.7500 0.0000  10 N 2.89-2.90
Ce 0.1776 0.6776 0.8553  4 N 2.34-2.50
Ce 0.3224 0.1776 0.5000  4 N 2.34-2.50
Ce 0.6776 0.8224 0.5000  4 N 2.34-2.50
Ce 0.8224 0.3224 0.1447  4 N 2.34-2.50
Tc 0.2500 0.7500 0.5000  4 N 1.89
Tc 0.7500 0.2500 0.5000  4 N 1.89
N 0.0000 0.0000 0.0000  4 Ce 2.50
N 0.0059 0.2137 0.5000  1 Tc 1.89
N 0.2137 0.7137 0.2078  1 Tc 1.89
N 0.2863 0.4941 0.5000  1 Tc 1.89
N 0.4941 0.9941 0.2078  1 Tc 1.89
N 0.5000 0.5000 0.0000  4 Ce 2.50
N 0.5059 0.0059 0.7922  1 Tc 1.89
N 0.7137 0.5059 0.5000  1 Tc 1.89
N 0.7863 0.2863 0.7922  1 Tc 1.89
N 0.9941 0.7863 0.5000  1 Tc 1.89

Computed properties:
Space group: I4/mcm

(11)
Material: Ac3CeTc2N6
Method: DFT, GGA-PBE
State: optimized geometry

a = 6.0871 Å, b = 6.0871 Å, c = 6.9610 Å
α = 90.00°, β = 90.00°, γ = 120.00°
With the nearest neighbours (Å) after each atom.
Fractional coordinates of all 12 atoms:
Ac 0.0000 0.0000 0.0000  6 N 2.71
Ac 0.3333 0.6667 0.6856  9 N 3.05-3.24
Ac 0.6667 0.3333 0.3144  9 N 3.05-3.24
Ce 0.0000 0.0000 0.5000  6 N 2.33
Tc 0.3333 0.6667 0.1853  3 N 1.85
Tc 0.6667 0.3333 0.8147  3 N 1.85
N 0.1717 0.3434 0.2900  1 Tc 1.85
N 0.1717 0.8283 0.2900  1 Tc 1.85
N 0.3434 0.1717 0.7100  1 Tc 1.85
N 0.6566 0.8283 0.2900  1 Tc 1.85
N 0.8283 0.1717 0.7100  1 Tc 1.85
N 0.8283 0.6566 0.7100  1 Tc 1.85

Computed properties:
Space group: P-3m1

(12)
Material: AcCeTc2N5
Method: DFT, GGA-PBE
State: optimized geometry

a = 3.9863 Å, b = 3.9863 Å, c = 7.4471 Å
α = 90.00°, β = 90.00°, γ = 90.00°
With the nearest neighbours (Å) after each atom.
Fractional coordinates of all 9 atoms:
Ac 0.0000 0.0000 0.0000  12 N 2.82-2.95
Ce 0.0000 0.0000 0.5000  8 N 2.52
Tc 0.5000 0.5000 0.2662  5 N 1.98-2.00
Tc 0.5000 0.5000 0.7338  5 N 1.98-2.00
N 0.0000 0.5000 0.2922  2 Tc 2.00
N 0.0000 0.5000 0.7078  2 Tc 2.00
N 0.5000 0.0000 0.2922  2 Tc 2.00
N 0.5000 0.0000 0.7078  2 Tc 2.00
N 0.5000 0.5000 0.0000  2 Tc 1.98

Computed properties:
Space group: P4/mmm

| no. | final energy (eV/atom) |
| --- | --- |
| 1 | -8.251 |
| 2 | -8.810 |
| 3 | -9.147 |
| 4 | -8.369 |
| 5 | -7.974 |
| 6 | -8.122 |
| 7 | -8.185 |
| 8 | -8.430 |
| 9 | -7.956 |
| 10 | -8.634 |
| 11 | -8.178 |
| 12 | -8.817 |